(1)
Here is crystalline CaLa5Ga3 at its relaxed geometry from Alexandria via LeMat-Bulk. Energies are from PBE-GGA.

**Final energy**: -78.67 eV per cell
**Space group**: P6_3/mcm, No. 193
**DOS at the Fermi energy**: 15.165 states/eV per cell
**E_form**: -0.40 eV/atom

Cell and atoms, written as POSCAR:
```
CaLa5Ga3
1.0
6.9324 0.0000 0.0000
0.0000 9.3501 0.0000
0.0000 -4.6750 8.0971
Ca La Ga
2 10 6
Cartesian
0.0000 0.0000 0.0000
3.4662 0.0000 0.0000
0.0000 4.6750 2.6995
3.4662 0.0000 5.3976
0.0000 0.0000 5.3976
3.4662 4.6750 2.6995
5.1993 3.0987 5.3672
5.1993 7.7737 2.7299
5.1993 3.1524 0.0000
1.7331 1.5763 2.7299
1.7331 -3.0987 5.3672
1.7331 6.1977 0.0000
5.1993 1.5268 2.6444
5.1993 6.2018 5.4527
5.1993 6.2961 0.0000
1.7331 3.1483 5.4527
1.7331 -1.5268 2.6444
1.7331 3.0540 0.0000
```

---

(2)
Here is crystalline AcIn2Ni at its relaxed geometry from Alexandria via LeMat-Bulk. Energies are from PBE-GGA.

**Distance to the lowest polymorph of the same formula**: 251 meV/atom
**Final energy**: -15.94 eV per cell
**Space group**: P4/mmm, No. 123
**DOS at the Fermi energy**: 2.519 states/eV per cell
**E_form**: -0.14 eV/atom

Cell and atoms, written as POSCAR:
```
AcIn2Ni
1.0
-1.0325 2.8990 1.6187
0.3596 -1.5876 3.0726
7.5228 2.4609 0.3911
Ni Ac In
1 1 2
Cartesian
-0.3365 0.6557 2.3457
3.4249 1.8862 2.5412
6.1403 2.0087 0.3192
1.3824 0.4522 0.0719
```

---

(3)
Here is crystalline InSnH6Ru2 at its relaxed geometry from Alexandria via LeMat-Bulk. Energies are from PBE-GGA.

**Final energy**: -89.69 eV per cell
**Space group**: C2/c, No. 15
**DOS at the Fermi energy**: 4.174 states/eV per cell

Cell and atoms, written as POSCAR:
```
InSnH6Ru2
1.0
7.1335 -1.2168 0.1835
-2.0810 6.9309 0.1835
-1.3404 -1.5159 4.3891
In Sn H Ru
2 2 12 4
Cartesian
-1.5465 5.7830 1.2807
5.2586 -1.5848 3.4753
4.1772 0.7220 1.2807
-0.4650 3.4762 3.4753
-0.3780 2.8807 0.6790
1.4770 4.9786 1.8824
4.0901 1.3175 4.0770
2.2351 -0.7804 2.8735
1.3139 1.4349 0.8103
3.1190 3.4764 1.7511
2.3982 2.7632 3.9457
0.5931 0.7218 3.0049
0.9684 2.4721 2.0455
2.0474 3.6924 0.5160
2.7438 1.7261 2.7105
1.6647 0.5058 4.2400
0.8902 -0.8271 3.7716
3.9718 2.6581 3.1790
2.8220 5.0253 0.9844
-0.2597 1.5401 1.5770
```

---

(4)
Here is crystalline YRe2Te at its relaxed geometry from Alexandria via LeMat-Bulk. Energies are from PBE-GGA.

**Final energy**: -31.82 eV per cell
**Space group**: F-43m, No. 216
**DOS at the Fermi energy**: 4.829 states/eV per cell

Cell and atoms, written as POSCAR:
```
YRe2Te
1.0
4.7887 0.0000 0.0000
2.3944 4.1471 0.0000
2.3944 1.3824 3.9100
Re Te Y
2 1 1
Cartesian
0.0000 0.0000 0.0000
2.3944 1.3824 0.9775
4.7887 2.7648 1.9550
7.1831 4.1471 2.9325
```

---

(5)
Here is crystalline CdGaCu2 at its relaxed geometry from Alexandria via LeMat-Bulk. Energies are from PBE-GGA.

**Final energy**: -22.27 eV per cell
**Space group**: I-42d, No. 122
**DOS at the Fermi energy**: 3.109 states/eV per cell
**E_form**: 0.25 eV/atom

Cell and atoms, written as POSCAR:
```
CdGaCu2
1.0
7.1016 0.0000 0.0000
0.0000 7.1016 0.0000
3.5508 3.5508 2.7097
Cu Ga Cd
4 2 2
Cartesian
5.1358 1.7754 0.6774
1.9658 5.3262 0.6774
5.3262 5.5166 2.0323
8.8770 8.6866 2.0323
3.5508 3.5508 0.0000
3.5508 7.1016 1.3549
0.0000 0.0000 0.0000
7.1016 3.5508 1.3549
```

---

(6)
Here is crystalline Pu2TcAs at its relaxed geometry from Alexandria via LeMat-Bulk. Energies are from PBE-GGA.

**Distance to the lowest polymorph of the same formula**: 0 meV/atom
**Final energy**: -45.29 eV per cell
**Space group**: P4/mmm, No. 123
**DOS at the Fermi energy**: 8.445 states/eV per cell
**E_form**: -0.40 eV/atom

Cell and atoms, written as POSCAR:
```
Pu2TcAs
1.0
-1.8641 2.5691 -1.9200
-1.9688 0.8365 3.0307
3.9378 3.9535 1.4668
As Tc Pu
1 1 2
Cartesian
-1.9164 1.7028 0.5554
0.0525 3.6795 1.2888
2.9690 2.9808 1.1060
0.9688 0.9727 0.3609
```

---

(7)
Here is crystalline HoTiCuHg at its relaxed geometry from Alexandria via LeMat-Bulk. Energies are from PBE-GGA.

**Final energy**: -17.15 eV per cell
**Space group**: F-43m, No. 216
**DOS at the Fermi energy**: 3.598 states/eV per cell
**E_form**: -0.07 eV/atom

Cell and atoms, written as POSCAR:
```
HoTiCuHg
1.0
4.8551 0.0000 0.0000
2.4275 4.2046 0.0000
2.4275 1.4015 3.9642
Ti Hg Cu Ho
1 1 1 1
Cartesian
2.4275 1.4015 0.9910
0.0000 0.0000 0.0000
4.8551 2.8031 1.9821
7.2826 4.2046 2.9731
```

---

(8)
Here is crystalline NbAs2Cl at its relaxed geometry from Alexandria via LeMat-Bulk. Energies are from PBE-GGA.

**Distance to the lowest polymorph of the same formula**: 157 meV/atom
**Final energy**: -19.53 eV per cell
**Space group**: Fm-3m, No. 225
**DOS at the Fermi energy**: 1.022 states/eV per cell

Cell and atoms, written as POSCAR:
```
NbAs2Cl
1.0
0.0000 3.3409 3.3409
3.3409 0.0000 3.3409
3.3409 3.3409 0.0000
Nb As Cl
1 2 1
Cartesian
3.3409 3.3409 3.3409
1.6704 1.6704 1.6704
5.0113 5.0113 5.0113
0.0000 0.0000 0.0000
```

---

(9)
Here is crystalline NaTlPb2Se4 at its relaxed geometry from Alexandria via LeMat-Bulk. Energies are from PBE-GGA.

**Final energy**: -29.24 eV per cell
**Space group**: P2/m, No. 10
**DOS at the Fermi energy**: 3.779 states/eV per cell

Cell and atoms, written as POSCAR:
```
NaTlPb2Se4
1.0
4.3212 0.0000 0.0000
0.0000 7.3186 -0.1882
0.0000 2.5210 6.9601
Na Tl Pb Se
1 1 2 4
Cartesian
0.0000 4.9198 3.3860
2.1606 3.6593 -0.0941
0.0000 2.5210 6.9601
2.1606 1.2605 3.4801
0.0000 7.3319 5.0651
4.3212 2.5078 1.7067
2.1607 6.0547 1.5942
2.1606 3.7850 5.1777
```

---

(10)
Here is crystalline HgSbPb2S5 at its relaxed geometry from Alexandria via LeMat-Bulk. Energies are from PBE-GGA.

**Final energy**: -69.62 eV per cell
**Space group**: Cmc2_1, No. 36
**DOS at the Fermi energy**: 8.583 states/eV per cell

Cell and atoms, written as POSCAR:
```
HgSbPb2S5
1.0
3.9850 0.0000 0.0000
-1.9925 8.7757 0.0000
0.0000 0.0000 13.0498
Hg Sb Pb S
2 2 4 10
Cartesian
1.9925 0.9356 12.3474
0.0000 7.8401 5.8224
1.9925 4.7748 6.8809
0.0000 4.0009 0.3560
1.9925 6.6102 10.3094
0.0000 1.6328 8.5031
0.0000 2.1655 3.7845
1.9925 7.1429 1.9782
0.0000 6.5312 13.0367
1.9925 3.7124 11.6822
0.0000 8.6935 10.1170
0.0000 4.6353 8.7582
1.9925 7.5414 7.4168
1.9925 2.2445 6.5118
0.0000 5.0633 5.1573
1.9925 0.0822 3.5921
1.9925 4.1404 2.2333
0.0000 1.2343 0.8919
```

---

(11)
Here is crystalline TeMoS4 at its relaxed geometry from Alexandria via LeMat-Bulk. Energies are from PBE-GGA.

**Final energy**: -64.45 eV per cell
**Space group**: P-1, No. 2

Cell and atoms, written as POSCAR:
```
TeMoS4
1.0
6.0194 0.0125 -1.1541
-2.2008 7.1836 -2.6336
0.3100 -0.1339 7.4851
Te Mo S
2 2 8
Cartesian
0.8623 3.4735 2.5974
3.2662 3.5886 1.1001
4.3285 0.0115 -0.8306
-0.2001 7.0506 4.5280
-0.0348 1.8836 -0.1497
-1.8676 6.6067 -0.9185
0.7734 6.0421 2.4814
3.3551 1.0201 1.2161
4.1633 5.1785 3.8472
3.0711 1.3747 5.6415
1.0573 5.6875 -1.9441
5.9961 0.4554 4.6160
```

---

(12)
Here is crystalline Pu3F8 at its relaxed geometry from Alexandria via LeMat-Bulk. Energies are from PBE-GGA.

**Final energy**: -96.68 eV per cell
**Space group**: Pm-3m, No. 221
**DOS at the Fermi energy**: 25.253 states/eV per cell

Cell and atoms, written as POSCAR:
```
Pu3F8
1.0
5.7503 -0.0001 0.0006
0.0006 5.7503 0.0006
-0.0001 -0.0001 5.7503
Pu F
3 8
Cartesian
0.0003 2.8751 2.8755
2.8751 -0.0001 2.8755
2.8755 2.8751 0.0006
4.2389 1.5115 4.2392
4.2390 4.2387 1.5125
1.5120 4.2384 4.2394
4.2388 4.2382 4.2393
1.5121 1.5119 1.5123
4.2389 1.5117 1.5122
1.5119 1.5114 4.2391
1.5120 4.2387 1.5124
```